Below is crystalline Cs3K3Tl2 at its relaxed geometry, with properties calculated at the GGA-PBE level.

The formation energy is -0.3 eV per formula unit.

It has space group P-1 (No. 2), with a = 5.499 Å, b = 7.835 Å, c = 13.285 Å, α = 91.52°, β = 101.89° and γ = 90.02°. Symmetry generates all atoms from Cs at (0.000, 0.000, 0.000), Cs at (0.177, 0.611, 0.352), K at (0.357, 0.871, 0.716), K at (0.500, 0.500, 0.000) and Tl at (0.239, 0.093, 0.478).